The following is a DFT calculation (GGA-PBE) of crystalline BaTa2Ni at its relaxed geometry.

Calculated values
Space-group type: C2/m, No. 12
Polymorph energy (0 for the lowest one), eV/f.u.: 0.96
Calculated formation energy, eV/atom: 0.652

a b c (Å): 5.8990 5.8990 5.4097
angles (deg): 74.71 74.71 29.57
Atoms (fractional coordinates):
Ni1 0.2500 0.2500 0.2500
Ta1 0.9493 0.9493 0.0921
Ta2 0.5507 0.5507 0.4079
Ba1 0.7500 0.7500 0.7500

=====

The following is a DFT calculation (GGA-PBE) of crystalline AlCrCu at its relaxed geometry.

Calculated values
Space-group type: C2/m, No. 12
Calculated formation energy, eV/atom: 0.015

a b c (Å): 2.7850 4.4808 6.8330
angles (deg): 95.95 90.00 108.11
Site moments in Bohr magnetons follow the coordinates.
Atoms (fractional coordinates):
Cr1 0.8495 0.6989 0.0543  0.14
Cr2 0.1505 0.3011 0.9457  0.14
Al1 0.5831 0.1661 0.2529  0.00
Al2 0.4169 0.8339 0.7471  0.00
Cu1 0.6787 0.3574 0.6218  0.01
Cu2 0.3213 0.6426 0.3782  0.01

=====

The following is a DFT calculation (GGA-PBE) of crystalline TiSbPd2 at its relaxed geometry.

Calculated values
Space-group type: R3m, No. 160

a b c (Å): 5.3116 5.3116 5.3116
angles (deg): 48.55 48.55 48.55
Atoms (fractional coordinates):
Pd1 0.5206 0.5206 0.5206
Pd2 0.1015 0.1015 0.1015
Sb1 0.9177 0.9177 0.9177
Ti1 0.7112 0.7112 0.7112

=====

The following is a DFT calculation (GGA-PBE) of crystalline Nd3HgPb3 at its relaxed geometry.

Calculated values
Space-group type: C2/m, No. 12
Polymorph energy (0 for the lowest one), eV/f.u.: 0.00
Calculated formation energy, eV/atom: -0.491

a b c (Å): 4.7228 6.4465 15.3497
angles (deg): 82.59 81.15 68.51
Atoms (fractional coordinates):
Pb1 0.8731 0.1806 0.0731
Pb2 0.9979 0.2297 0.7744
Pb3 0.0021 0.7703 0.2256
Pb4 0.1269 0.8194 0.9269
Pb5 0.8573 0.7565 0.5290
Pb6 0.1427 0.2435 0.4710
Nd1 0.5995 0.7242 0.0768
Nd2 0.4005 0.2758 0.9232
Nd3 0.4752 0.6742 0.3754
Nd4 0.7275 0.7672 0.7778
Nd5 0.5248 0.3258 0.6246
Nd6 0.2725 0.2328 0.2222
Hg1 0.7506 0.1404 0.3584
Hg2 0.2494 0.8596 0.6416

=====

The following is a DFT calculation (GGA-PBE) of crystalline LiCoTc2 at its relaxed geometry.

Calculated values
Space-group type: I-42d, No. 122
Polymorph energy (0 for the lowest one), eV/f.u.: 1.87
Calculated formation energy, eV/atom: 0.646

a b c (Å): 6.8596 6.8596 5.4174
angles (deg): 50.72 50.72 90.00
Atoms (fractional coordinates):
Tc1 0.6634 0.1250 0.2500
Tc2 0.0866 0.6250 0.2500
Tc3 0.3750 0.3366 0.7500
Tc4 0.8750 0.9134 0.7500
Co1 0.7500 0.2500 0.5000
Co2 0.0000 0.0000 0.0000
Li1 0.5000 0.5000 0.0000
Li2 0.2500 0.7500 0.5000

=====

The following is a DFT calculation (GGA-PBE) of crystalline LaHo5Au6 at its relaxed geometry.

Calculated values
Space-group type: P2/m, No. 10
Calculated formation energy, eV/atom: -0.848

a b c (Å): 5.1172 7.1974 8.1503
angles (deg): 90.00 108.45 90.00
Atoms (fractional coordinates):
Ho1 0.6678 0.0000 0.3370
Ho2 0.6644 0.5000 0.3304
Ho3 0.3322 0.0000 0.6630
Ho4 0.3356 0.5000 0.6696
Ho5 0.0000 0.5000 0.0000
Au1 0.8283 0.7441 0.6538
Au2 0.8283 0.2558 0.6538
Au3 0.5000 0.7330 0.0000
Au4 0.5000 0.2670 0.0000
Au5 0.1717 0.2559 0.3462
Au6 0.1717 0.7442 0.3462
La1 0.0000 0.0000 0.0000

=====

The following is a DFT calculation (GGA-PBE) of crystalline La2TlAgRh at its relaxed geometry.

Calculated values
Space-group type: P4/mmm, No. 123
Polymorph energy (0 for the lowest one), eV/f.u.: 0.99
Calculated formation energy, eV/atom: -0.281

a b c (Å): 5.3812 5.3812 5.2564
angles (deg): 90.00 90.00 90.00
Atoms (fractional coordinates):
Rh1 0.0000 0.0000 0.0000
Ag1 0.0000 0.0000 0.5000
La1 0.0000 0.5000 0.0000
La2 0.5000 0.0000 0.0000
Tl1 0.5000 0.5000 0.5000

=====

The following is a DFT calculation (GGA-PBE) of crystalline La4CeN5 at its relaxed geometry.

Calculated values
Space-group type: I4/mmm, No. 139
Polymorph energy (0 for the lowest one), eV/f.u.: 0.10

a b c (Å): 3.7130 3.7130 13.4011
angles (deg): 97.96 97.96 90.00
Site moments in Bohr magnetons follow the coordinates.
Atoms (fractional coordinates):
La1 0.7991 0.7991 0.5981  0.00
La2 0.4019 0.4019 0.8039  -0.01
La3 0.2009 0.2009 0.4019  0.00
La4 0.5981 0.5981 0.1961  -0.01
N1 0.3001 0.3001 0.6003  0.00
N2 0.6999 0.6999 0.3997  0.00
N3 0.0896 0.0896 0.1792  0.01
N4 0.5000 0.5000 0.0000  0.01
N5 0.9104 0.9104 0.8208  0.01
Ce1 0.0000 0.0000 0.0000  -0.23

=====

The following is a DFT calculation (GGA-PBE) of crystalline Tm2Zn6Cu9 at its relaxed geometry.

Calculated values
Space-group type: P6/mmm, No. 191
Calculated formation energy, eV/atom: -0.094

a b c (Å): 5.0696 5.0696 12.4531
angles (deg): 90.00 90.00 120.00
Atoms (fractional coordinates):
Cu1 0.5000 0.5000 0.1679
Cu2 0.0000 0.5000 0.1679
Cu3 0.5000 0.5000 0.5000
Cu4 0.5000 0.0000 0.8321
Cu5 0.5000 0.0000 0.5000
Cu6 0.0000 0.5000 0.8321
Cu7 0.5000 0.5000 0.8321
Cu8 0.5000 0.0000 0.1679
Cu9 0.0000 0.5000 0.5000
Zn1 0.3333 0.6667 0.6657
Zn2 0.6667 0.3333 0.3343
Zn3 0.3333 0.6667 0.3343
Zn4 0.6667 0.3333 0.0000
Zn5 0.3333 0.6667 0.0000
Zn6 0.6667 0.3333 0.6657
Tm1 0.0000 0.0000 0.6663
Tm2 0.0000 0.0000 0.3337

=====

The following is a DFT calculation (GGA-PBE) of crystalline Dy3AgAu2 at its relaxed geometry.

Calculated values
Space-group type: P4/mmm, No. 123
Calculated formation energy, eV/atom: -0.689

a b c (Å): 3.5958 3.5958 10.9045
angles (deg): 90.00 90.00 90.00
Atoms (fractional coordinates):
Au1 0.5000 0.5000 0.1681
Au2 0.5000 0.5000 0.8319
Dy1 0.0000 0.0000 0.3289
Dy2 0.0000 0.0000 0.6711
Dy3 0.0000 0.0000 0.0000
Ag1 0.5000 0.5000 0.5000

=====

The following is a DFT calculation (GGA-PBE) of crystalline LaTbPa at its relaxed geometry.

Calculated values
Space-group type: P4/nmm, No. 129
Polymorph energy (0 for the lowest one), eV/f.u.: 0.11
Calculated formation energy, eV/atom: 0.185

a b c (Å): 4.0025 4.0025 11.7040
angles (deg): 90.00 90.00 90.00
Atoms (fractional coordinates):
La1 0.5000 0.0000 0.3938
La2 0.0000 0.5000 0.6062
Tb1 0.5000 0.0000 0.7890
Tb2 0.0000 0.5000 0.2110
Pa1 0.0000 0.5000 0.9379
Pa2 0.5000 0.0000 0.0621

=====

The following is a DFT calculation (GGA-PBE) of crystalline TaP2BrCl at its relaxed geometry.

Calculated values
Space-group type: P4/mmm, No. 123
Polymorph energy (0 for the lowest one), eV/f.u.: 7.62

a b c (Å): 4.8102 4.8102 4.7340
angles (deg): 90.00 90.00 90.00
Site moments in Bohr magnetons follow the coordinates.
Atoms (fractional coordinates):
Ta1 0.5000 0.5000 0.5000  1.54
Cl1 0.0000 0.0000 0.5000  -0.03
P1 0.0000 0.5000 0.0000  -0.10
P2 0.5000 0.0000 0.0000  -0.10
Br1 0.0000 0.0000 0.0000  0.00

=====

The following is a DFT calculation (GGA-PBE) of crystalline KZrHg2 at its relaxed geometry.

Calculated values
Space-group type: Cm, No. 8
Polymorph energy (0 for the lowest one), eV/f.u.: 0.54
Calculated formation energy, eV/atom: 0.092

a b c (Å): 6.2713 6.2713 5.5720
angles (deg): 89.93 89.93 28.33
Atoms (fractional coordinates):
K1 0.5177 0.5177 0.6249
Hg1 0.7723 0.7723 0.6250
Hg2 0.9688 0.9688 0.1251
Zr1 0.2411 0.2411 0.1250

=====

The following is a DFT calculation (GGA-PBE) of crystalline Er12Sb5C2 at its relaxed geometry.

Calculated values
Space-group type: C2/m, No. 12

a b c (Å): 7.4894 9.0943 9.1166
angles (deg): 105.65 90.00 114.32
Site moments in Bohr magnetons follow the coordinates.
Atoms (fractional coordinates):
Er1 0.4023 0.2803 0.5586  0.08
Er2 0.6057 0.6973 0.9207  0.24
Er3 0.9084 0.3027 0.0793  0.24
Er4 0.9996 0.9992 0.8279  0.32
Er5 0.1220 0.7197 0.4414  0.08
Er6 0.8780 0.2803 0.5586  0.08
Er7 0.0004 0.0008 0.1721  0.32
Er8 0.5048 0.0096 0.1876  0.16
Er9 0.4952 0.9904 0.8124  0.16
Er10 0.5977 0.7197 0.4414  0.08
Er11 0.0916 0.6973 0.9207  0.24
Er12 0.3943 0.3027 0.0793  0.24
Sb1 0.3137 0.6274 0.1572  0.00
Sb2 0.2928 0.5857 0.6495  0.00
Sb3 0.7072 0.4143 0.3505  0.00
Sb4 0.0000 0.0000 0.5000  -0.01
Sb5 0.6863 0.3726 0.8428  0.00
C1 0.2540 0.0000 0.0000  0.00
C2 0.7460 0.0000 0.0000  0.00

=====

The following is a DFT calculation (GGA-PBE) of crystalline Pr2Al4Pd5 at its relaxed geometry.

Calculated values
Space-group type: Fmmm, No. 69
Calculated formation energy, eV/atom: -0.797

a b c (Å): 5.7565 5.6729 8.1335
angles (deg): 79.66 69.28 59.51
Atoms (fractional coordinates):
Al1 0.2146 0.3122 0.2586
Al2 0.7854 0.6878 0.7414
Al3 0.5268 0.6878 0.2586
Al4 0.4732 0.3122 0.7414
Pd1 0.0000 0.5000 0.0000
Pd2 0.5000 0.0000 0.0000
Pd3 0.2500 0.5000 0.5000
Pd4 0.5000 0.5000 0.0000
Pd5 0.7500 0.5000 0.5000
Pr1 0.1342 0.0000 0.7316
Pr2 0.8658 0.0000 0.2684

=====

The following is a DFT calculation (GGA-PBE) of crystalline NdGa3CoPt at its relaxed geometry.

Calculated values
Space-group type: Cmcm, No. 63
Calculated formation energy, eV/atom: -0.414

a b c (Å): 5.8490 7.6132 6.6254
angles (deg): 125.07 90.00 90.00
Atoms (fractional coordinates):
Ga1 0.0000 0.7597 0.0000
Ga2 0.0000 0.2403 0.0000
Ga3 0.7500 0.7750 0.5500
Ga4 0.2500 0.2250 0.4500
Ga5 0.5000 0.7597 0.0000
Ga6 0.5000 0.2403 0.0000
Nd1 0.2500 0.7468 0.4935
Nd2 0.7500 0.2532 0.5065
Pt1 0.7500 0.5547 0.1094
Pt2 0.2500 0.4453 0.8906
Co1 0.7500 0.9788 0.9576
Co2 0.2500 0.0212 0.0424

=====

The following is a DFT calculation (GGA-PBE) of crystalline PrPbAu at its relaxed geometry.

Calculated values
Space-group type: P6_3/mmc, No. 194
Calculated formation energy, eV/atom: -0.638

a b c (Å): 5.2858 5.2858 6.6263
angles (deg): 90.00 90.00 120.01
Atoms (fractional coordinates):
Pb1 0.0000 0.5000 0.0000
Pb2 0.0000 0.5000 0.5000
Pr1 0.6665 0.8335 0.7500
Pr2 0.3335 0.1665 0.2500
Au1 0.3332 0.1668 0.7500
Au2 0.6668 0.8332 0.2500

=====

The following is a DFT calculation (GGA-PBE) of crystalline Mg2HgBr6 at its relaxed geometry.

Calculated values
Space-group type: C2/c, No. 15
Polymorph energy (0 for the lowest one), eV/f.u.: 0.30

a b c (Å): 6.9208 10.4429 10.4429
angles (deg): 91.09 72.66 72.66
Atoms (fractional coordinates):
Br1 0.8557 0.5895 0.7281
Br2 0.5845 0.9901 0.7994
Br3 0.0845 0.7994 0.9901
Br4 0.1140 0.1620 0.5900
Br5 0.8860 0.8380 0.4100
Br6 0.4155 0.0099 0.2006
Br7 0.3860 0.4100 0.8380
Br8 0.6140 0.5900 0.1620
Br9 0.6443 0.2719 0.4105
Br10 0.9155 0.2006 0.0099
Br11 0.1443 0.4105 0.2719
Br12 0.3557 0.7281 0.5895
Mg1 0.1579 0.6322 0.7906
Mg2 0.3421 0.2094 0.3678
Mg3 0.6579 0.7906 0.6322
Mg4 0.8421 0.3678 0.2094
Hg1 0.2500 0.2060 0.7940
Hg2 0.7500 0.7940 0.2060

=====

The following is a DFT calculation (GGA-PBE) of crystalline AgTeIrOs2 at its relaxed geometry.

Calculated values
Space-group type: P4/mmm, No. 123

a b c (Å): 4.7810 4.8947 4.7810
angles (deg): 90.00 90.00 90.00
Atoms (fractional coordinates):
Ir1 0.5000 0.5000 0.5000
Ag1 0.0000 0.0000 0.0000
Os1 0.0000 0.0000 0.5000
Os2 0.5000 0.0000 0.0000
Te1 0.0000 0.5000 0.0000

=====

The following is a DFT calculation (GGA-PBE) of crystalline HfHgS2 at its relaxed geometry.

Calculated values
Space-group type: Cmcm, No. 63

a b c (Å): 16.2218 16.2218 3.7620
angles (deg): 90.00 90.00 168.04
Atoms (fractional coordinates):
S1 0.1383 0.8617 0.7500
S2 0.2213 0.7787 0.2500
S3 0.7787 0.2213 0.7500
S4 0.8617 0.1383 0.2500
Hf1 0.3073 0.6927 0.2500
Hf2 0.6927 0.3073 0.7500
Hg1 0.0455 0.9545 0.2500
Hg2 0.9545 0.0455 0.7500

=====

For each record above, in turn, the calculated spin magnetization values are 0.0, 0.3, 0.0, 0.0, 0.0, 0.0, 0.0, 0.3, 0.0, 0.0, 0.0, 1.8, 0.0, 3.3, 0.0, 0.0, 0.0, 0.0, 0.0, 0.0 μB/cell.
For each record above, in turn, the calculated E_tot values are -7.200, -5.806, -5.984, -4.167, -6.792, -4.804, -4.765, -8.087, -3.238, -4.558, -6.166, -3.618, -2.471, -5.498, -5.387, -4.913, -4.559, -2.587, -4.501, -5.605 eV/atom.
For each record above, in turn, the calculated D(E_F) values are 3.80, 4.52, 4.68, 10.26, 7.60, 5.94, 6.03, 4.15, 5.66, 2.64, 12.10, 3.58, 2.83, 18.88, 7.00, 7.16, 2.40, 0.00, 8.58, 1.47 states/eV/cell.